BiTe after structural relaxation, computed with GGA-PBEsol.

Values from the calculation:
- electronic total energy (eV per atom) = -4.000
- total magnetic moment (Bohr magnetons per cell) = 0.0
- SG = R-3m
- formation energy from raw total energies (eV per atom) = -0.094
- energy above the most stable polymorph in this dataset (meV per atom) = 95

Cell lengths 4.2360, 4.2360, 4.2360 Å; angles 68.91, 68.91, 68.91 degrees
Last column: nearest neighbours and their distance in Å.
Fractional coordinates of all 2 atoms:
Te1 0.0000 0.0000 0.0000  6 Bi 3.20
Bi1 0.5000 0.5000 0.5000  6 Te 3.20